Entry 1:
This record from the Alexandria database describes a relaxed RbLaPd4 crystal. The functional is GGA-PBE.

Computed properties:
- Calculated total energy: -4.86 eV/atom
- Total magnetic moment: 0.0 μB/cell
- DFT formation energy: -0.42 eV/atom
- Symmetry: F-43m (216)

Cell and atoms, written as CIF:
```
data_RbLaPd4
_chemical_formula_sum 'Rb1 La1 Pd4'
_symmetry_space_group_name_H-M 'P 1'
_symmetry_Int_Tables_number 1
_symmetry_space_group_name_Hall 'P 1'
_cell_length_a 5.605
_cell_length_b 5.605
_cell_length_c 5.605
_cell_angle_alpha 60.00
_cell_angle_beta 60.00
_cell_angle_gamma 60.00
loop_
_atom_site_label
_atom_site_type_symbol
_atom_site_fract_x
_atom_site_fract_y
_atom_site_fract_z
Pd1 Pd 0.626 0.123 0.626
Pd2 Pd 0.626 0.626 0.123
Pd3 Pd 0.626 0.626 0.626
Pd4 Pd 0.123 0.626 0.626
La1 La 0.000 0.000 0.000
Rb1 Rb 0.250 0.250 0.250
```


Entry 2:
This record from the Alexandria database describes a relaxed RbLaPd2 crystal. The functional is GGA-PBE.

Computed properties:
- Calculated total energy: -4.14 eV/atom
- Total magnetic moment: 0.0 μB/cell
- DFT formation energy: -0.07 eV/atom
- Symmetry: I-42d (122)
- Offset from the most stable computed form: 92 meV per atom

Cell and atoms, written as CIF:
```
data_RbLaPd2
_chemical_formula_sum 'Rb2 La2 Pd4'
_symmetry_space_group_name_H-M 'P 1'
_symmetry_Int_Tables_number 1
_symmetry_space_group_name_Hall 'P 1'
_cell_length_a 8.195
_cell_length_b 8.195
_cell_length_c 6.756
_cell_angle_alpha 52.66
_cell_angle_beta 52.66
_cell_angle_gamma 90.00
loop_
_atom_site_label
_atom_site_type_symbol
_atom_site_fract_x
_atom_site_fract_y
_atom_site_fract_z
Pd1 Pd 0.375 0.336 0.750
Pd2 Pd 0.875 0.914 0.750
Pd3 Pd 0.086 0.625 0.250
Pd4 Pd 0.664 0.125 0.250
Rb1 Rb 0.500 0.500 0.000
Rb2 Rb 0.250 0.750 0.500
La1 La 0.000 0.000 0.000
La2 La 0.750 0.250 0.500
```


Entry 3:
This record from the Alexandria database describes a relaxed RbLa2Pd2 crystal. The functional is GGA-PBE.

Computed properties:
- Calculated total energy: -4.47 eV/atom
- Total magnetic moment: 0.9 μB/cell
- DFT formation energy: -0.23 eV/atom
- Symmetry: I4/mmm (139)

Cell and atoms, written as CIF:
```
data_RbLa2Pd2
_chemical_formula_sum 'Rb1 La2 Pd2'
_symmetry_space_group_name_H-M 'P 1'
_symmetry_Int_Tables_number 1
_symmetry_space_group_name_Hall 'P 1'
_cell_length_a 5.440
_cell_length_b 5.440
_cell_length_c 7.436
_cell_angle_alpha 68.54
_cell_angle_beta 68.54
_cell_angle_gamma 90.00
loop_
_atom_site_label
_atom_site_type_symbol
_atom_site_fract_x
_atom_site_fract_y
_atom_site_fract_z
La1 La 0.672 0.672 0.655
La2 La 0.328 0.328 0.345
Pd1 Pd 0.250 0.750 0.500
Pd2 Pd 0.750 0.250 0.500
Rb1 Rb 0.000 0.000 0.000
```


Entry 4:
This record from the Alexandria database describes a relaxed Rb2LaPd2 crystal. The functional is GGA-PBE.

Computed properties:
- Calculated total energy: -3.47 eV/atom
- Total magnetic moment: 1.1 μB/cell
- DFT formation energy: -0.02 eV/atom
- Symmetry: P4/mbm (127)

Cell and atoms, written as CIF:
```
data_Rb2LaPd2
_chemical_formula_sum 'Rb4 La2 Pd4'
_symmetry_space_group_name_H-M 'P 1'
_symmetry_Int_Tables_number 1
_symmetry_space_group_name_Hall 'P 1'
_cell_length_a 7.424
_cell_length_b 7.424
_cell_length_c 6.069
_cell_angle_alpha 90.00
_cell_angle_beta 90.00
_cell_angle_gamma 90.00
loop_
_atom_site_label
_atom_site_type_symbol
_atom_site_fract_x
_atom_site_fract_y
_atom_site_fract_z
La1 La 0.500 0.500 0.000
La2 La 0.000 0.000 0.000
Pd1 Pd 0.628 0.128 0.000
Pd2 Pd 0.128 0.372 0.000
Pd3 Pd 0.872 0.628 0.000
Pd4 Pd 0.372 0.872 0.000
Rb1 Rb 0.334 0.166 0.500
Rb2 Rb 0.666 0.834 0.500
Rb3 Rb 0.166 0.666 0.500
Rb4 Rb 0.834 0.334 0.500
```


Entry 5:
This record from the Alexandria database describes a relaxed RbLa2Pd crystal. The functional is GGA-PBE.

Computed properties:
- Calculated total energy: -3.77 eV/atom
- Total magnetic moment: 0.0 μB/cell
- DFT formation energy: 0.24 eV/atom
- Symmetry: Fm-3m (225)
- Offset from the most stable computed form: 139 meV per atom

Cell and atoms, written as CIF:
```
data_RbLa2Pd
_chemical_formula_sum 'Rb1 La2 Pd1'
_symmetry_space_group_name_H-M 'P 1'
_symmetry_Int_Tables_number 1
_symmetry_space_group_name_Hall 'P 1'
_cell_length_a 5.550
_cell_length_b 5.550
_cell_length_c 5.550
_cell_angle_alpha 60.00
_cell_angle_beta 60.00
_cell_angle_gamma 60.00
loop_
_atom_site_label
_atom_site_type_symbol
_atom_site_fract_x
_atom_site_fract_y
_atom_site_fract_z
Pd1 Pd 0.500 0.500 0.500
La1 La 0.250 0.250 0.250
La2 La 0.750 0.750 0.750
Rb1 Rb 0.000 0.000 0.000
```


Entry 6:
This record from the Alexandria database describes a relaxed RbLa3Pd crystal. The functional is GGA-PBE.

Computed properties:
- Calculated total energy: -4.17 eV/atom
- Total magnetic moment: 0.0 μB/cell
- DFT formation energy: 0.02 eV/atom
- Symmetry: Pm-3m (221)
- Offset from the most stable computed form: 0 meV per atom

Cell and atoms, written as CIF:
```
data_RbLa3Pd
_chemical_formula_sum 'Rb1 La3 Pd1'
_symmetry_space_group_name_H-M 'P 1'
_symmetry_Int_Tables_number 1
_symmetry_space_group_name_Hall 'P 1'
_cell_length_a 5.930
_cell_length_b 5.930
_cell_length_c 5.930
_cell_angle_alpha 90.00
_cell_angle_beta 90.00
_cell_angle_gamma 90.00
loop_
_atom_site_label
_atom_site_type_symbol
_atom_site_fract_x
_atom_site_fract_y
_atom_site_fract_z
Rb1 Rb 0.500 0.500 0.500
Pd1 Pd 0.000 0.000 0.000
La1 La 0.500 0.000 0.000
La2 La 0.000 0.000 0.500
La3 La 0.000 0.500 0.000
```


Number 1: DOS at the Fermi energy 1.842 states/eV/f.u.. Number 2: DOS at the Fermi energy 0.671 states/eV/f.u.. Number 3: DOS at the Fermi energy 3.676 states/eV/f.u.. Number 4: DOS at the Fermi energy 2.332 states/eV/f.u.. Number 5: DOS at the Fermi energy 7.468 states/eV/f.u.. Number 6: DOS at the Fermi energy 13.518 states/eV/f.u..